! Ba2VW PBE-GGA relaxed; values from VASP
&SYSTEM
  ibrav = 0, nat = 4, ntyp = 3
/
ATOMIC_SPECIES
Ba 137.33 Ba.upf
V 50.94 V.upf
W 183.84 W.upf
CELL_PARAMETERS angstrom
0.000 4.000 4.000
4.000 0.000 4.000
4.000 4.000 0.000
ATOMIC_POSITIONS angstrom
Ba 2.000 2.000 2.000
Ba 6.000 6.000 6.000
V 0.000 0.000 0.000
W 4.000 4.000 4.000
! E_form ... 1.626 eV/atom



! Cs3La2NdSe6 PBE-GGA relaxed; values from VASP
&SYSTEM
  ibrav = 0, nat = 12, ntyp = 4
/
ATOMIC_SPECIES
Cs 132.91 Cs.upf
La 138.91 La.upf
Nd 144.24 Nd.upf
Se 78.96 Se.upf
CELL_PARAMETERS angstrom
3.869 -6.701 0.000
3.869 6.701 0.000
-2.579 0.000 8.389
ATOMIC_POSITIONS angstrom
Cs 0.000 0.000 0.000
Cs 3.869 2.238 0.000
Cs 3.869 -2.238 0.000
La 2.579 4.468 4.194
La 2.579 -4.468 4.194
Nd 2.579 0.000 4.194
Se 1.303 2.210 2.595
Se 0.028 0.000 5.795
Se 1.303 -2.210 2.595
Se 3.855 2.210 5.793
Se 5.130 0.000 2.594
Se 3.855 -2.210 5.793
! Raw formation energy ... -172.2 kJ/mol of atoms



! CaPm6Ho12 PBE-GGA relaxed; values from VASP
&SYSTEM
  ibrav = 0, nat = 19, ntyp = 3
/
ATOMIC_SPECIES
Ca 40.08 Ca.upf
Pm 145.00 Pm.upf
Ho 164.93 Ho.upf
CELL_PARAMETERS angstrom
7.457 4.305 3.528
-7.457 4.305 3.528
0.000 -8.610 3.528
ATOMIC_POSITIONS angstrom
Ca 0.000 0.000 0.000
Pm -2.918 -1.685 5.890
Pm 0.000 -3.369 4.695
Pm -2.918 1.684 4.695
Pm 2.918 -1.685 5.890
Pm 0.000 3.369 5.890
Pm 2.918 1.685 4.695
Ho -1.783 -1.030 2.723
Ho -2.887 -5.001 5.293
Ho -5.775 0.000 5.293
Ho 1.783 -1.030 2.723
Ho 0.000 2.059 2.723
Ho 2.887 -5.001 5.293
Ho -2.887 5.001 5.293
Ho 0.000 -2.059 7.863
Ho -1.783 1.030 7.863
Ho 5.775 0.000 5.293
Ho 2.887 5.001 5.293
Ho 1.783 1.030 7.863
! E_form ... 0.448 eV/atom



! LaRh4O8 PBE-GGA relaxed; values from VASP
&SYSTEM
  ibrav = 0, nat = 13, ntyp = 3
/
ATOMIC_SPECIES
La 138.91 La.upf
Rh 102.91 Rh.upf
O 16.00 O.upf
CELL_PARAMETERS angstrom
3.130 1.807 5.401
-3.130 1.807 5.401
0.000 -3.614 5.401
ATOMIC_POSITIONS angstrom
La 0.000 0.000 0.000
Rh -3.130 0.000 8.102
Rh -1.565 0.903 2.701
Rh 1.565 0.903 2.701
Rh 0.000 0.000 8.102
O 0.000 0.000 3.618
O -1.562 -0.902 9.127
O 0.000 -1.804 7.077
O -1.562 0.902 7.077
O 1.562 -0.902 9.127
O 0.000 1.804 9.127
O 1.562 0.902 7.077
O 0.000 0.000 12.586
! Raw formation energy ... -117.2 kJ/mol of atoms



! Ti2CdIn PBE-GGA relaxed; values from VASP
&SYSTEM
  ibrav = 0, nat = 4, ntyp = 3
/
ATOMIC_SPECIES
Ti 47.87 Ti.upf
Cd 112.41 Cd.upf
In 114.82 In.upf
CELL_PARAMETERS angstrom
0.000 3.411 3.411
3.411 0.000 3.411
3.411 3.411 0.000
ATOMIC_POSITIONS angstrom
Ti 0.000 0.000 0.000
Ti 1.705 1.705 1.705
Cd 3.411 3.411 3.411
In 5.116 5.116 5.116
! E_form ... 0.171 eV/atom



! SrTe5 PBE-GGA relaxed; values from VASP
&SYSTEM
  ibrav = 0, nat = 6, ntyp = 2
/
ATOMIC_SPECIES
Sr 87.62 Sr.upf
Te 127.60 Te.upf
CELL_PARAMETERS angstrom
4.379 0.000 0.000
0.000 4.379 0.000
0.000 0.000 10.871
ATOMIC_POSITIONS angstrom
Sr 0.000 0.000 0.000
Te 0.000 0.000 4.063
Te 0.000 0.000 6.808
Te 2.189 2.189 1.437
Te 2.189 2.189 5.435
Te 2.189 2.189 9.433
! Raw formation energy ... -29.4 kJ/mol of atoms



! LiUPt4 PBE-GGA relaxed; values from VASP
&SYSTEM
  ibrav = 0, nat = 6, ntyp = 3
/
ATOMIC_SPECIES
Li 6.94 Li.upf
U 238.03 U.upf
Pt 195.08 Pt.upf
CELL_PARAMETERS angstrom
0.000 3.772 3.772
3.772 0.000 3.772
3.772 3.772 0.000
ATOMIC_POSITIONS angstrom
Li 0.000 0.000 0.000
U 5.659 5.659 5.659
Pt 2.825 2.825 2.825
Pt 4.720 4.720 2.825
Pt 4.720 2.825 4.720
Pt 2.825 4.720 4.720
! E_form ... -0.653 eV/atom



! Pr8Er2Pb PBE-GGA relaxed; values from VASP
&SYSTEM
  ibrav = 0, nat = 11, ntyp = 3
/
ATOMIC_SPECIES
Pr 140.91 Pr.upf
Er 167.26 Er.upf
Pb 207.20 Pb.upf
CELL_PARAMETERS angstrom
9.306 -2.532 0.000
9.306 2.532 0.000
-2.211 0.000 7.905
ATOMIC_POSITIONS angstrom
Pr 0.310 0.000 1.824
Pr 1.070 0.000 5.388
Pr 4.680 0.000 4.687
Pr 7.478 0.000 0.444
Pr 8.924 0.000 7.461
Pr 11.722 0.000 3.218
Pr 15.331 0.000 2.517
Pr 16.091 0.000 6.081
Er 3.894 0.000 1.038
Er 12.507 0.000 6.867
Pb 8.201 0.000 3.953
! E_form ... -0.082 eV/atom



! Cs2BaZn2O4 PBE-GGA relaxed; values from VASP
&SYSTEM
  ibrav = 0, nat = 9, ntyp = 4
/
ATOMIC_SPECIES
Cs 132.91 Cs.upf
Ba 137.33 Ba.upf
Zn 65.41 Zn.upf
O 16.00 O.upf
CELL_PARAMETERS angstrom
7.367 -1.888 0.000
7.367 1.888 0.000
-2.727 0.000 6.879
ATOMIC_POSITIONS angstrom
Cs 1.763 0.000 0.379
Cs 10.244 0.000 6.500
Ba -1.364 0.000 3.439
Zn 3.324 0.000 3.694
Zn 8.684 0.000 3.184
O 1.370 0.000 4.218
O 4.802 0.000 4.938
O 7.205 0.000 1.941
O 10.638 0.000 2.660
! Raw formation energy ... -148.9 kJ/mol of atoms



! TbPmLu PBE-GGA relaxed; values from VASP
&SYSTEM
  ibrav = 0, nat = 3, ntyp = 3
/
ATOMIC_SPECIES
Tb 158.93 Tb.upf
Pm 145.00 Pm.upf
Lu 174.97 Lu.upf
CELL_PARAMETERS angstrom
5.618 0.000 0.000
-2.809 4.865 0.000
0.000 0.000 3.470
ATOMIC_POSITIONS angstrom
Tb 0.000 0.000 0.000
Pm 2.809 1.622 1.735
Lu 0.000 3.244 1.735
! E_form ... 0.077 eV/atom



! RbZn3Bi PBE-GGA relaxed; values from VASP
&SYSTEM
  ibrav = 0, nat = 5, ntyp = 3
/
ATOMIC_SPECIES
Rb 85.47 Rb.upf
Zn 65.41 Zn.upf
Bi 208.98 Bi.upf
CELL_PARAMETERS angstrom
6.322 0.000 0.000
0.000 6.322 0.000
0.000 0.000 6.322
ATOMIC_POSITIONS angstrom
Rb 0.000 0.000 0.000
Zn 0.000 0.000 3.161
Zn 0.000 3.161 0.000
Zn 3.161 0.000 0.000
Bi 3.161 3.161 3.161
! E_form ... 0.970 eV/atom



! MnBe2Tl PBE-GGA relaxed; values from VASP
&SYSTEM
  ibrav = 0, nat = 4, ntyp = 3
/
ATOMIC_SPECIES
Mn 54.94 Mn.upf
Be 9.01 Be.upf
Tl 204.38 Tl.upf
CELL_PARAMETERS angstrom
2.923 0.000 0.000
0.000 2.923 0.000
0.000 0.000 6.387
ATOMIC_POSITIONS angstrom
Mn 0.000 0.000 0.000
Be 0.000 0.000 4.115
Be 1.461 1.461 5.125
Tl 1.461 1.461 2.121
! E_form ... 0.472 eV/atom



What is the formula in the tenth record?
TbPmLu